{"formula": "AcDy2Hf", "functional": "GGA-PBE", "state": "optimized geometry", "lattice": [[-1.138, 0.342, 3.257], [2.061, -0.853, 2.655], [4.641, 11.278, 2.284]], "species": ["Ac", "Hf", "Dy", "Dy"], "frac_coords": [[0.500, 0.500, 0.500], [0.000, 0.000, 0.000], [0.084, 0.084, 0.749], [0.916, 0.916, 0.251]], "dft_energy_ev_per_atom": -5.31, "delta_e_f_ev_per_atom": 0.5037, "dos_ef_per_ev_cell": 6.99, "m_tot_mub_per_atom": 0.00}

{"formula": "RbSeIBr2", "functional": "GGA-PBE", "state": "optimized geometry", "lattice": [[-1.712, 4.749, 4.065], [-5.115, -3.487, 1.920], [3.783, -2.842, 4.913]], "species": ["I", "Se", "Br", "Br", "Rb"], "frac_coords": [[0.500, 0.500, 0.500], [0.000, 0.000, 0.500], [0.000, 0.500, 0.000], [0.500, 0.000, 0.000], [0.000, 0.000, 0.000]], "raw_formation_energy_mev_per_atom": 243, "e_above_lowest_polymorph_mev_per_atom": 884, "dft_energy_ev_per_atom": -1.63, "dos_ef_per_ev_cell": 10.51, "m_tot_mub_per_atom": 0.80}

What is the formula in the first record?
AcDy2Hf